Record 1
{"formula": "Th2RhAu", "functional": "PBE", "state": "relaxed", "cell": [[4.075, -0.003, -0.006], [-2.039, 3.528, 0.006], [-2.035, -1.175, 7.438]], "species": ["Th", "Th", "Rh", "Au"], "frac_coords": [[0.518, 0.259, 0.777], [0.482, 0.741, 0.223], [0.000, 0.000, 0.000], [0.000, 0.500, 0.500]]}


Record 2
{"formula": "ZnSe3", "functional": "PBE", "state": "relaxed", "cell": [[-1.172, 6.461, 2.085], [-3.255, 4.181, 4.404], [0.524, 4.657, 5.050]], "species": ["Se", "Se", "Se", "Zn"], "frac_coords": [[0.742, 0.742, 0.742], [0.500, 0.500, 0.500], [0.258, 0.258, 0.258], [0.000, 0.000, 0.000]], "e_form_raw_kj_per_mol_fu": 11}


Record 3
{"formula": "ScSbN2", "functional": "PBE", "state": "relaxed", "cell": [[5.099, 0.000, 0.000], [0.000, 5.099, 0.000], [2.549, 2.549, 5.186]], "species": ["Sc", "Sc", "Sb", "Sb", "N", "N", "N", "N"], "frac_coords": [[0.500, 0.500, 0.000], [0.250, 0.750, 0.500], [0.000, 0.000, 0.000], [0.750, 0.250, 0.500], [0.592, 0.125, 0.250], [0.158, 0.625, 0.250], [0.375, 0.408, 0.750], [0.875, 0.842, 0.750]], "e_form_raw_kj_per_mol_fu": -116}


Record 4
{"formula": "YP", "functional": "PBE", "state": "relaxed", "cell": [[-3.211, 4.843, 0.934], [-0.232, -5.331, -2.482], [-1.394, -1.621, 3.611]], "species": ["Y", "Y", "P", "P"], "frac_coords": [[0.871, 0.129, 0.750], [0.129, 0.871, 0.250], [0.620, 0.380, 0.750], [0.380, 0.620, 0.250]]}


Record 5
{"formula": "YMg2Br", "functional": "PBE", "state": "relaxed", "cell": [[-2.211, -1.508, 4.543], [-2.885, -4.409, 0.192], [1.831, -4.239, 2.544]], "species": ["Br", "Mg", "Mg", "Y"], "frac_coords": [[0.500, 0.500, 0.500], [0.000, 0.000, 0.000], [0.250, 0.250, 0.250], [0.750, 0.750, 0.750]], "e_form_raw_kj_per_mol_fu": -45, "relative_energy_ev_per_atom": 0.313}


Record 6
{"formula": "Ac4Pd5Pt2", "functional": "PBE", "state": "relaxed", "cell": [[4.180, 0.000, 0.000], [0.000, 7.378, -0.254], [0.000, -0.205, 8.785]], "species": ["Ac", "Ac", "Ac", "Ac", "Pd", "Pd", "Pd", "Pd", "Pd", "Pt", "Pt"], "frac_coords": [[0.500, 0.754, 0.602], [0.500, 0.234, 0.878], [0.500, 0.246, 0.398], [0.500, 0.766, 0.122], [0.000, 0.528, 0.323], [0.000, 0.163, 0.134], [0.000, 0.500, 0.000], [0.000, 0.837, 0.866], [0.000, 0.472, 0.677], [0.000, 0.092, 0.643], [0.000, 0.908, 0.357]]}


Computed E_tot (Ry per atom) in order:
-0.5228; -0.2134; -0.5201; -0.5375; -0.2168; -0.4298